[1]
# CaSc2Al

A crystal of CaSc2Al relaxed with PBEsol (meta-GGA SCAN, Alexandria).

Geometry as POSCAR:
```
CaSc2Al
1.0
3.304 0.000 0.000
-1.652 2.862 0.000
0.000 0.000 31.256
Ca Sc Al
3 6 3
direct
0.000 0.000 0.000 Ca
0.333 0.667 0.667 Ca
0.667 0.333 0.333 Ca
0.000 0.000 0.513 Sc
0.000 0.000 0.764 Sc
0.333 0.667 0.179 Sc
0.333 0.667 0.431 Sc
0.667 0.333 0.097 Sc
0.667 0.333 0.846 Sc
0.000 0.000 0.252 Al
0.333 0.667 0.919 Al
0.667 0.333 0.586 Al
```

Output
Density in kg/m3: 2646
Magnetic moment in μB/f.u.: 1.401
ΔH_f (0 K) in meV/atom: 40

[2]
# NbTeI2Cl

A crystal of NbTeI2Cl relaxed with PBEsol (meta-GGA SCAN, Alexandria).

Geometry as POSCAR:
```
NbTeI2Cl
1.0
5.415 0.000 0.000
0.000 5.415 0.000
0.000 0.000 5.323
Nb Te I Cl
1 1 2 1
direct
0.000 0.000 0.000 Nb
0.000 0.000 0.500 Te
0.000 0.500 0.000 I
0.500 0.000 0.000 I
0.500 0.500 0.500 Cl
```

Output
Density in kg/m3: 5424
E_form (uncorrected) in eV per formula unit: -0.17
Magnetic moment in μB/f.u.: 0.000

[3]
# GaBiF2

A crystal of GaBiF2 relaxed with PBEsol (meta-GGA SCAN, Alexandria).

Geometry as POSCAR:
```
GaBiF2
1.0
3.460 0.000 0.000
-1.730 2.997 0.000
0.000 0.000 23.044
Ga Bi F
3 3 6
direct
0.000 0.000 0.000 Ga
0.333 0.667 0.667 Ga
0.667 0.333 0.333 Ga
0.000 0.000 0.500 Bi
0.333 0.667 0.167 Bi
0.667 0.333 0.833 Bi
0.000 0.000 0.400 F
0.000 0.000 0.600 F
0.333 0.667 0.067 F
0.333 0.667 0.266 F
0.667 0.333 0.734 F
0.667 0.333 0.933 F
```

Output
Density in kg/m3: 6603
E_form (uncorrected) in eV per formula unit: -5.39
Magnetic moment in μB/f.u.: 0.000